A relaxed LaTl3Sn2Te6 crystal, computed with PBE.

Summary:
Total energy (eV per cell): -45.15
Formation energy without anion corrections (eV per atom): -0.523

a b c (Å): 7.9078 7.9078 8.2772
angles (deg): 99.17 99.17 119.98
Element x y z (fractional)
1 La 0.0000 0.0000 0.0000
2 Tl 0.1610 0.8390 0.5000
3 Tl 0.5000 0.5000 0.5000
4 Tl 0.8390 0.1610 0.5000
5 Sn 0.3327 0.6673 0.0000
6 Sn 0.6673 0.3327 0.0000
7 Te 0.0755 0.4181 0.2255
8 Te 0.2702 0.2702 0.7795
9 Te 0.4181 0.0755 0.2255
10 Te 0.5819 0.9245 0.7745
11 Te 0.7298 0.7298 0.2205
12 Te 0.9245 0.5819 0.7745

---

A relaxed Ac2SmHg crystal, computed with PBE.

Summary:
Total energy (eV per cell): -12.83
DFT formation energy (eV/atom): 0.103
Excess energy over the best structure of this formula in the dataset (eV per atom): 0.314

a b c (Å): 12.6227 12.6227 12.6227
angles (deg): 17.22 17.22 17.22
Element x y z (fractional)
1 Ac 0.0960 0.0960 0.0960
2 Ac 0.9040 0.9040 0.9040
3 Sm 0.0000 0.0000 0.0000
4 Hg 0.5000 0.5000 0.5000

---

A relaxed YCd7Hg12 crystal, computed with PBE.

Summary:
Total energy (eV per cell): -17.18
DFT formation energy (eV/atom): -0.034
Excess energy over the best structure of this formula in the dataset (eV per atom): 0.000

a b c (Å): 8.3619 8.3619 8.3619
angles (deg): 103.94 103.94 103.94
Element x y z (fractional)
1 Y 0.0000 0.0000 0.0000
2 Cd 0.1157 0.4002 0.2410
3 Cd 0.2410 0.1157 0.4002
4 Cd 0.4002 0.2410 0.1157
5 Cd 0.5000 0.5000 0.5000
6 Cd 0.5998 0.7590 0.8843
7 Cd 0.7590 0.8843 0.5998
8 Cd 0.8843 0.5998 0.7590
9 Hg 0.0198 0.7044 0.1672
10 Hg 0.1672 0.0198 0.7044
11 Hg 0.1737 0.4756 0.6336
12 Hg 0.2956 0.8328 0.9802
13 Hg 0.3664 0.8263 0.5244
14 Hg 0.4756 0.6336 0.1737
15 Hg 0.5244 0.3664 0.8263
16 Hg 0.6336 0.1737 0.4756
17 Hg 0.7044 0.1672 0.0198
18 Hg 0.8263 0.5244 0.3664
19 Hg 0.8328 0.9802 0.2956
20 Hg 0.9802 0.2956 0.8328

---

A relaxed LaIrN2O crystal, computed with PBE.

Summary:
Total energy (eV per cell): -27.83
Formation energy without anion corrections (eV per atom): 1.514

a b c (Å): 4.3602 4.3602 4.4398
angles (deg): 90.00 90.00 90.00
Element x y z (fractional)
1 La 0.0000 0.0000 0.0000
2 Ir 0.5000 0.5000 0.5000
3 N 0.0000 0.5000 0.0000
4 N 0.5000 0.0000 0.0000
5 O 0.0000 0.0000 0.5000